(1)
VASP calculation (PBE-GGA) on crystalline LiErPa2Se6 at its relaxed geometry.

Output
space group = P4mm
D(E_F) = 11.856 states/eV/f.u.
ΔE_f (raw) = -1.065 eV/atom
mass density = 6.27 g/cm3

a b c (Å): 6.5300 6.5300 6.8974
angles (deg): 90.00 90.00 90.00
Fractional coordinates of all 10 atoms:
Li (0.0000, 0.0000, 0.0000)
Er (0.5000, 0.5000, 0.0289)
Pa (0.0000, 0.5000, 0.4510)
Pa (0.5000, 0.0000, 0.4510)
Se (0.0000, 0.0000, 0.6322)
Se (0.2410, 0.2410, 0.2075)
Se (0.2410, 0.7590, 0.2075)
Se (0.5000, 0.5000, 0.6273)
Se (0.7590, 0.2410, 0.2075)
Se (0.7590, 0.7590, 0.2075)

(2)
VASP calculation (PBE-GGA) on crystalline SbPbI2N at its relaxed geometry.

Output
space group = P4/mmm
D(E_F) = 2.037 states/eV/f.u.
ΔE_f (raw) = 0.450 eV/atom
mass density = 6.11 g/cm3
energy above the most stable polymorph in this dataset = 0.00 eV/f.u.

a b c (Å): 6.3563 6.3563 4.0150
angles (deg): 90.00 90.00 90.00
Fractional coordinates of all 5 atoms:
Sb (0.0000, 0.0000, 0.0000)
Pb (0.5000, 0.5000, 0.5000)
I (0.0000, 0.5000, 0.0000)
I (0.5000, 0.0000, 0.0000)
N (0.0000, 0.0000, 0.5000)

(3)
VASP calculation (PBE-GGA) on crystalline NpCu4Si2 at its relaxed geometry.

Output
space group = Immm
D(E_F) = 5.805 states/eV/f.u.
ΔE_f (raw) = -0.008 eV/atom
mass density = 9.15 g/cm3

a b c (Å): 2.5991 3.9770 19.2170
angles (deg): 90.00 90.00 90.00
Fractional coordinates of all 14 atoms:
Np (0.0000, 0.0000, 0.0000)
Np (0.5000, 0.5000, 0.5000)
Cu (0.0000, 0.0000, 0.1520)
Cu (0.0000, 0.0000, 0.8480)
Cu (0.0000, 0.5000, 0.2261)
Cu (0.0000, 0.5000, 0.7739)
Cu (0.5000, 0.0000, 0.2739)
Cu (0.5000, 0.0000, 0.7261)
Cu (0.5000, 0.5000, 0.3480)
Cu (0.5000, 0.5000, 0.6520)
Si (0.0000, 0.0000, 0.3984)
Si (0.0000, 0.0000, 0.6016)
Si (0.5000, 0.5000, 0.1016)
Si (0.5000, 0.5000, 0.8984)

(4)
VASP calculation (PBE-GGA) on crystalline AsPBr2 at its relaxed geometry.

Output
space group = C2/m
D(E_F) = 2.161 states/eV/f.u.
ΔE_f (raw) = 0.529 eV/atom
mass density = 4.59 g/cm3
energy above the most stable polymorph in this dataset = 2.77 eV/f.u.

a b c (Å): 6.4409 8.5868 4.7290
angles (deg): 90.00 132.72 90.00
Fractional coordinates of all 8 atoms:
As (0.0000, 0.0000, 0.0000)
As (0.5000, 0.5000, 0.0000)
P (0.0000, 0.5000, 0.0000)
P (0.5000, 0.0000, 0.0000)
Br (0.2500, 0.2500, 0.5000)
Br (0.2500, 0.7500, 0.5000)
Br (0.7500, 0.2500, 0.5000)
Br (0.7500, 0.7500, 0.5000)

(5)
VASP calculation (PBE-GGA) on crystalline BeIn3Fe at its relaxed geometry.

Output
space group = Pm-3m
D(E_F) = 7.726 states/eV/f.u.
mass density = 6.04 g/cm3
ΔE_f = 75.3 kJ per mole of atoms
energy above the most stable polymorph in this dataset = 0.36 eV/f.u.

a b c (Å): 4.8267 4.8267 4.8267
angles (deg): 90.00 90.00 90.00
Fractional coordinates of all 5 atoms:
Be (0.0000, 0.0000, 0.0000)
In (0.0000, 0.0000, 0.5000)
In (0.0000, 0.5000, 0.0000)
In (0.5000, 0.0000, 0.0000)
Fe (0.5000, 0.5000, 0.5000)

(6)
VASP calculation (PBE-GGA) on crystalline KCd3Pt at its relaxed geometry.

Output
space group = P6_3/mmc
D(E_F) = 0.903 states/eV/f.u.
mass density = 4.99 g/cm3
ΔE_f = 9.4 kJ per mole of atoms
energy above the most stable polymorph in this dataset = 1.76 eV/f.u.

a b c (Å): 4.5913 4.5913 20.8239
angles (deg): 90.00 90.00 120.00
Fractional coordinates of all 10 atoms:
K (0.0000, 0.0000, 0.0000)
K (0.0000, 0.0000, 0.5000)
Cd (0.0000, 0.0000, 0.2500)
Cd (0.0000, 0.0000, 0.7500)
Cd (0.3333, 0.6667, 0.1214)
Cd (0.3333, 0.6667, 0.3786)
Cd (0.6667, 0.3333, 0.6214)
Cd (0.6667, 0.3333, 0.8786)
Pt (0.3333, 0.6667, 0.2500)
Pt (0.6667, 0.3333, 0.7500)